[1]
VASP calculation (PBE) on an optimized crystal structure of SmY3.

a = 7.302 Å, b = 7.302 Å, c = 5.720 Å
α = 90.00°, β = 90.00°, γ = 120.00°
Fractional coordinates of all 8 atoms:
Y: 0.667 0.833 0.250
Y: 0.833 0.667 0.750
Y: 0.833 0.167 0.750
Y: 0.167 0.833 0.250
Y: 0.333 0.167 0.750
Y: 0.167 0.333 0.250
Sm: 0.333 0.667 0.750
Sm: 0.667 0.333 0.250

energy of formation from the pure elements = 0.029 eV per formula unit
polymorph energy (0 for the lowest one) = 0.000 eV per atom
symmetry = P6_3/mmc, No. 194
final energy = -48.2 eV for the cell shown
Fermi-level density of states = 16.227 states/eV per cell
magnetization = 0.0 μB/f.u.

[2]
VASP calculation (PBE) on an optimized crystal structure of Sm5Y4.

a = 7.093 Å, b = 9.855 Å, c = 9.855 Å
α = 120.00°, β = 90.00°, γ = 90.00°
Fractional coordinates of all 18 atoms:
Sm: 0.500 0.667 0.333
Sm: 0.500 0.333 0.667
Sm: 0.250 0.316 0.316
Sm: 0.000 0.667 0.333
Sm: 0.250 0.684 0.000
Sm: 0.750 0.684 0.684
Sm: 0.000 0.333 0.667
Sm: 0.750 0.316 0.000
Sm: 0.750 0.000 0.316
Sm: 0.250 0.000 0.684
Y: 0.000 0.000 0.000
Y: 0.750 0.347 0.347
Y: 0.250 0.653 0.653
Y: 0.750 0.653 0.000
Y: 0.250 0.000 0.347
Y: 0.750 0.000 0.653
Y: 0.500 0.000 0.000
Y: 0.250 0.347 0.000

energy of formation from the pure elements = 0.563 eV per formula unit
polymorph energy (0 for the lowest one) = 0.046 eV per atom
symmetry = P6_3/mcm, No. 193
final energy = -97.8 eV for the cell shown
Fermi-level density of states = 30.082 states/eV per cell
magnetization = 0.0 μB/f.u.

- What is the final energy in the first record?
  -48.2 eV for the cell shown

- magnetization of number 1 (SmY3)?
  0.0 μB/f.u.

- Which value of final energy does entry 2 give?
  -97.8 eV for the cell shown

- Which value of final energy does entry 2 give?
  -97.8 eV for the cell shown